Model w:
The following is a PBE-GGA calculation of MgZr3Ta after structural relaxation, from Alexandria.

a = 4.9707 Å, b = 4.9707 Å, c = 4.9707 Å
α = 90.00°, β = 90.00°, γ = 90.00°
With the nearest neighbours (Å) after each atom.
Space group Pm-3m (No. 221)
Asymmetric unit:
Mg 0.0000 0.0000 0.0000 [1 per cell]  6 Zr 2.49
Zr 0.0000 0.0000 0.5000 [3 per cell]  2 Mg 2.49
Ta 0.5000 0.5000 0.5000 [1 per cell]  12 Zr 3.51

D(E_F) in states/eV per cell: 9.8

=====

Model x:
The following is a PBE-GGA calculation of MgZr3Ta after structural relaxation, from Alexandria.

a = 5.1682 Å, b = 5.1682 Å, c = 5.1682 Å
α = 90.00°, β = 90.00°, γ = 90.00°
With the nearest neighbours (Å) after each atom.
Space group Pm-3m (No. 221)
Asymmetric unit:
Mg 0.0000 0.0000 0.0000 [1 per cell]  12 Zr 3.65
Zr 0.0000 0.5000 0.5000 [3 per cell]  2 Ta 2.58
Ta 0.5000 0.5000 0.5000 [1 per cell]  6 Zr 2.58

D(E_F) in states/eV per cell: 8.2

=====

Most stable pick: model x. Distance to second place: 57.8 kJ/mol of atoms.

=====

Model w:
The following is a PBE-GGA calculation of MgZrTa after structural relaxation, from Alexandria.

a = 2.9243 Å, b = 2.9243 Å, c = 14.6624 Å
α = 90.00°, β = 90.00°, γ = 90.00°
With the nearest neighbours (Å) after each atom.
Space group I4mm (No. 107)
Asymmetric unit:
Mg 0.0000 0.0000 0.0000 [2 per cell]  4 Mg 2.92, 4 Ta 3.16
Zr 0.0000 0.0000 0.6809 [2 per cell]  4 Zr 2.92, 4 Ta 3.08
Ta 0.0000 0.0000 0.3367 [2 per cell]  4 Ta 2.92, 4 Zr 3.08, 4 Mg 3.16

D(E_F) in states/eV per cell: 4.9

=====

Model x:
The following is a PBE-GGA calculation of MgZrTa after structural relaxation, from Alexandria.

a = 3.0752 Å, b = 4.1682 Å, c = 9.6000 Å
α = 90.00°, β = 90.00°, γ = 90.00°
With the nearest neighbours (Å) after each atom.
Space group Imm2 (No. 44)
Asymmetric unit:
Mg 0.0000 0.0000 0.0000 [2 per cell]  5 Ta 3.03-3.23, 2 Mg 3.08, 5 Zr 3.10
Zr 0.0000 0.0000 0.3230 [2 per cell]  5 Ta 3.01-3.27, 2 Zr 3.08, 5 Mg 3.10
Ta 0.0000 0.0000 0.6640 [2 per cell]  5 Zr 3.01-3.27, 5 Mg 3.03-3.23, 2 Ta 3.08

D(E_F) in states/eV per cell: 2.8

=====

Model y:
The following is a PBE-GGA calculation of MgZrTa after structural relaxation, from Alexandria.

a = 2.9946 Å, b = 2.9960 Å, c = 14.7410 Å
α = 89.98°, β = 89.96°, γ = 72.51°
With the nearest neighbours (Å) after each atom.
Space group P-1 (No. 2)
Asymmetric unit:
Mg 0.2472 0.2506 0.0868 [2 per cell]  6 Mg 2.99-3.12, 2 Zr 3.20
Zr 0.2511 0.2483 0.7327 [2 per cell]  2 Ta 2.94, 4 Zr 2.99-3.00, 2 Mg 3.20
Ta 0.2498 0.2505 0.4264 [2 per cell]  6 Ta 2.80-3.00, 2 Zr 2.94

D(E_F) in states/eV per cell: 5.9

=====

Model z:
The following is a PBE-GGA calculation of MgZrTa after structural relaxation, from Alexandria.

a = 5.5821 Å, b = 9.3949 Å, c = 10.2503 Å
α = 90.00°, β = 90.00°, γ = 90.00°
With the nearest neighbours (Å) after each atom.
Space group Fmmm (No. 69)
Asymmetric unit:
Mg 0.0000 0.1664 0.0000 [8 per cell]  4 Ta 3.02, 3 Mg 3.13-3.20
Zr 0.0000 0.0000 0.3353 [8 per cell]  4 Ta 2.87
Ta 0.2500 0.2500 0.2500 [8 per cell]  2 Ta 2.79, 4 Zr 2.87, 4 Mg 3.02

D(E_F) in states/eV per cell: 28.4

=====

Most stable pick: model y. Distance to second place: 9.7 kJ/mol of atoms.

=====

Model w:
The following is a PBE-GGA calculation of MgZrTa after structural relaxation, from Alexandria.

a = 3.7595 Å, b = 4.4849 Å, c = 14.8493 Å
α = 90.00°, β = 90.00°, γ = 90.00°
With the nearest neighbours (Å) after each atom.
Space group Fmm2 (No. 42)
Asymmetric unit:
Mg 0.0000 0.0000 0.0000 [4 per cell]  4 Mg 2.93, 2 Ta 3.07
Zr 0.0000 0.0000 0.6819 [4 per cell]  4 Zr 2.93, 4 Ta 2.96-3.21
Ta 0.0000 0.0000 0.3362 [4 per cell]  4 Ta 2.93, 4 Zr 2.96-3.21, 2 Mg 3.07

D(E_F) in states/eV per cell: 13.1

=====

Model x:
The following is a PBE-GGA calculation of MgZrTa after structural relaxation, from Alexandria.

a = 5.0886 Å, b = 5.0886 Å, c = 2.7223 Å
α = 90.00°, β = 90.00°, γ = 120.00°
With the nearest neighbours (Å) after each atom.
Space group P3m1 (No. 156)
Asymmetric unit:
Mg 0.0000 0.0000 0.0000 [1 per cell]  2 Mg 2.72, 3 Ta 3.03
Zr 0.3333 0.6667 0.6961 [1 per cell]  2 Zr 2.72
Ta 0.6667 0.3333 0.2671 [1 per cell]  2 Ta 2.72, 3 Mg 3.03

D(E_F) in states/eV per cell: 4.7

=====

Most stable pick: model w. Distance to second place: 10.6 kJ/mol of atoms.

=====

Model w:
The following is a PBE-GGA calculation of MgZrTa3 after structural relaxation, from Alexandria.

a = 4.7761 Å, b = 4.7761 Å, c = 4.7761 Å
α = 90.00°, β = 90.00°, γ = 90.00°
With the nearest neighbours (Å) after each atom.
Space group Pm-3m (No. 221)
Asymmetric unit:
Mg 0.0000 0.0000 0.0000 [1 per cell]  6 Ta 2.39
Zr 0.5000 0.5000 0.5000 [1 per cell]  12 Ta 3.38
Ta 0.0000 0.0000 0.5000 [3 per cell]  2 Mg 2.39

D(E_F) in states/eV per cell: 7.1

=====

Model x:
The following is a PBE-GGA calculation of MgZrTa3 after structural relaxation, from Alexandria.

a = 4.9452 Å, b = 4.9452 Å, c = 4.9452 Å
α = 90.00°, β = 90.00°, γ = 90.00°
With the nearest neighbours (Å) after each atom.
Space group Pm-3m (No. 221)
Asymmetric unit:
Mg 0.0000 0.0000 0.0000 [1 per cell]  12 Ta 3.50
Zr 0.5000 0.5000 0.5000 [1 per cell]  6 Ta 2.47
Ta 0.0000 0.5000 0.5000 [3 per cell]  2 Zr 2.47

D(E_F) in states/eV per cell: 4.9

=====

Most stable pick: model w. Distance to second place: 10.5 kJ/mol of atoms.

=====

Model w:
The following is a PBE-GGA calculation of Mg2ZrTa2 after structural relaxation, from Alexandria.

a = 8.2925 Å, b = 8.2925 Å, c = 2.9676 Å
α = 90.00°, β = 90.00°, γ = 90.00°
With the nearest neighbours (Å) after each atom.
Space group P4/mbm (No. 127)
Asymmetric unit:
Mg 0.1810 0.3190 0.0000 [4 per cell]  6 Ta 2.83-2.91, 2 Mg 2.97
Zr 0.0000 0.0000 0.5000 [2 per cell]  2 Zr 2.97
Ta 0.1134 0.6134 0.5000 [4 per cell]  3 Ta 2.66-2.97, 6 Mg 2.83-2.91

D(E_F) in states/eV per cell: 9.4

=====

Model x:
The following is a PBE-GGA calculation of Mg2ZrTa2 after structural relaxation, from Alexandria.

a = 3.9594 Å, b = 3.9594 Å, c = 13.7617 Å
α = 90.00°, β = 90.00°, γ = 90.00°
With the nearest neighbours (Å) after each atom.
Space group I4/mmm (No. 139)
Asymmetric unit:
Mg 0.0000 0.5000 0.2500 [4 per cell]  4 Mg 2.80, 4 Ta 2.97
Zr 0.0000 0.0000 0.0000 [2 per cell]  8 Ta 3.06
Ta 0.0000 0.0000 0.4109 [4 per cell]  1 Ta 2.45

D(E_F) in states/eV per cell: 9.2

=====

Most stable pick: model w. Distance to second place: 16.8 kJ/mol of atoms.

=====

Model w:
The following is a PBE-GGA calculation of Tb2Mg after structural relaxation, from Alexandria.

a = 3.6940 Å, b = 3.6940 Å, c = 12.7651 Å
α = 90.00°, β = 90.00°, γ = 90.00°
With the nearest neighbours (Å) after each atom.
Space group P4/mmm (No. 123)
Asymmetric unit:
Tb 0.0000 0.0000 0.0000 [1 per cell]  8 Mg 3.26
Tb 0.0000 0.0000 0.3092 [2 per cell]  4 Mg 3.29, 4 Tb 3.57
Tb 0.5000 0.5000 0.5000 [1 per cell]  12 Tb 3.57-3.69
Mg 0.5000 0.5000 0.1530 [2 per cell]  8 Tb 3.26-3.29

D(E_F) in states/eV per cell: 7.7

=====

Model x:
The following is a PBE-GGA calculation of Tb2Mg after structural relaxation, from Alexandria.

a = 3.7204 Å, b = 3.7204 Å, c = 26.2925 Å
α = 90.00°, β = 90.00°, γ = 90.00°
With the nearest neighbours (Å) after each atom.
Space group I4_1/amd (No. 141, origin choice 2)
Asymmetric unit:
Tb 0.0000 0.2500 0.3046 [8 per cell]  4 Mg 3.22, 2 Tb 3.42
Mg 0.0000 0.2500 0.8750 [4 per cell]  8 Tb 3.22

D(E_F) in states/eV per cell: 14.9

=====

Most stable pick: model w. Distance to second place: 18.0 kJ/mol of atoms.

=====

Model w:
The following is a PBE-GGA calculation of Tb2Mg after structural relaxation, from Alexandria.

a = 9.0750 Å, b = 9.0750 Å, c = 9.0750 Å
α = 90.00°, β = 90.00°, γ = 90.00°
With the nearest neighbours (Å) after each atom.
Space group Fd-3m (No. 227, origin choice 2)
Asymmetric unit:
Tb 0.0000 0.0000 0.0000 [16 per cell]  6 Tb 3.21
Mg 0.1250 0.1250 0.6250 [8 per cell]  12 Tb 3.76, 4 Mg 3.93

D(E_F) in states/eV per cell: 36.3

=====

Model x:
The following is a PBE-GGA calculation of Tb2Mg after structural relaxation, from Alexandria.

a = 3.6215 Å, b = 3.6215 Å, c = 13.3286 Å
α = 90.00°, β = 90.00°, γ = 90.00°
With the nearest neighbours (Å) after each atom.
Space group I4/mmm (No. 139)
Asymmetric unit:
Tb 0.0000 0.0000 0.1606 [4 per cell]  4 Mg 3.34, 8 Tb 3.50-3.62
Mg 0.0000 0.0000 0.5000 [2 per cell]  8 Tb 3.34, 4 Mg 3.62

D(E_F) in states/eV per cell: 8.9

=====

Most stable pick: model x. Distance to second place: 32.0 kJ/mol of atoms.

=====

Model w:
The following is a PBE-GGA calculation of Tb2Mg3 after structural relaxation, from Alexandria.

a = 3.7653 Å, b = 3.7653 Å, c = 18.7539 Å
α = 90.00°, β = 90.00°, γ = 90.00°
With the nearest neighbours (Å) after each atom.
Space group P4/mmm (No. 123)
Asymmetric unit:
Tb 0.0000 0.0000 0.1027 [2 per cell]  8 Mg 3.27-3.29
Tb 0.0000 0.0000 0.3035 [2 per cell]  8 Mg 3.25-3.33
Mg 0.0000 0.0000 0.5000 [1 per cell]  8 Mg 3.15
Mg 0.5000 0.5000 0.0000 [1 per cell]  8 Tb 3.29
Mg 0.5000 0.5000 0.2038 [2 per cell]  8 Tb 3.25-3.27
Mg 0.5000 0.5000 0.4104 [2 per cell]  5 Mg 3.15-3.36, 4 Tb 3.33

D(E_F) in states/eV per cell: 9.1

=====

Model x:
The following is a PBE-GGA calculation of Tb2Mg3 after structural relaxation, from Alexandria.

a = 3.3758 Å, b = 3.3758 Å, c = 41.4961 Å
α = 90.00°, β = 90.00°, γ = 120.00°
With the nearest neighbours (Å) after each atom.
Space group R-3m (No. 166, hexagonal axes)
Asymmetric unit:
Tb 0.0000 0.0000 0.2015 [6 per cell]  9 Tb 3.38-3.48, 3 Mg 3.46
Mg 0.0000 0.0000 0.0000 [3 per cell]  12 Mg 3.26-3.38
Mg 0.0000 0.0000 0.3962 [6 per cell]  9 Mg 3.26-3.38, 3 Tb 3.46

D(E_F) in states/eV per cell: 13.9

=====

Most stable pick: model w. Distance to second place: 10.3 kJ/mol of atoms.